Entry 1:
VASP calculation (PBE) on crystalline Li3Bi2 at its relaxed geometry.

The energy relative to the lowest polymorph listed for this composition comes out at 0 meV per atom. As for the density of states at the Fermi level: 1.08 states/eV/f.u. The formation enthalpy at 0 K is -350 meV/atom.

It has space group C2/m (No. 12), with a = 17.9545 Å, b = 4.8834 Å, c = 8.7180 Å, α = 90.00°, β = 104.88° and γ = 90.00°. The distinct sites, in fractional coordinates, are Li at (0.0000, 0.0000, 0.0000), Li at (0.0271, 0.0000, 0.6808), Li at (0.1162, 0.5000, 0.6588), Li at (0.1347, 0.5000, 0.9991), Li at (0.1991, 0.5000, 0.3623), Bi at (0.0291, 0.5000, 0.1974), Bi at (0.1379, 0.0000, 0.4886) and Bi at (0.1951, 0.0000, 0.8646).

Entry 2:
VASP calculation (PBE) on crystalline LiLuBi at its relaxed geometry.

The energy relative to the lowest polymorph listed for this composition comes out at 212 meV per atom. As for the density of states at the Fermi level: 1.89 states/eV/f.u. The formation enthalpy at 0 K is -246 meV/atom.

It has space group I4mm (No. 107), with a = 3.7576 Å, b = 3.7576 Å, c = 10.6928 Å, α = 90.00°, β = 90.00° and γ = 90.00°. The distinct sites, in fractional coordinates, are Li at (0.0000, 0.0000, 0.0000), Lu at (0.0000, 0.0000, 0.6880) and Bi at (0.0000, 0.0000, 0.3751).

Entry 3:
VASP calculation (PBE) on crystalline LiLuBi at its relaxed geometry.

The energy relative to the lowest polymorph listed for this composition comes out at 0 meV per atom. As for the density of states at the Fermi level: 1.76 states/eV/f.u. The formation enthalpy at 0 K is -458 meV/atom.

It has space group P-6m2 (No. 187), with a = 4.4790 Å, b = 4.4790 Å, c = 4.1081 Å, α = 90.00°, β = 90.00° and γ = 120.00°. The distinct sites, in fractional coordinates, are Li at (0.0000, 0.0000, 0.0000), Lu at (0.3333, 0.6667, 0.5000) and Bi at (0.6667, 0.3333, 0.0000).

Entry 4:
VASP calculation (PBE) on crystalline LiLuBi2 at its relaxed geometry.

The energy relative to the lowest polymorph listed for this composition comes out at 71 meV per atom. As for the density of states at the Fermi level: 2.20 states/eV/f.u. The formation enthalpy at 0 K is -364 meV/atom.

It has space group R-3m (No. 166, hexagonal axes), with a = 3.9008 Å, b = 3.9008 Å, c = 25.5925 Å, α = 90.00°, β = 90.00° and γ = 120.00°. The distinct sites, in fractional coordinates, are Li at (0.0000, 0.0000, 0.0000), Lu at (0.0000, 0.0000, 0.5000) and Bi at (0.0000, 0.0000, 0.2536).

Entry 5:
VASP calculation (PBE) on crystalline LiLuBi2 at its relaxed geometry.

The energy relative to the lowest polymorph listed for this composition comes out at 28 meV per atom. As for the density of states at the Fermi level: 2.30 states/eV/f.u. The formation enthalpy at 0 K is -407 meV/atom.

It has space group P4/mmm (No. 123), with a = 3.7673 Å, b = 3.7673 Å, c = 7.5614 Å, α = 90.00°, β = 90.00° and γ = 90.00°. The distinct sites, in fractional coordinates, are Li at (0.0000, 0.0000, 0.0000), Lu at (0.0000, 0.0000, 0.5000) and Bi at (0.5000, 0.5000, 0.2441).

Entry 6:
VASP calculation (PBE) on crystalline LiLuBi2 at its relaxed geometry.

The energy relative to the lowest polymorph listed for this composition comes out at 0 meV per atom. As for the density of states at the Fermi level: 1.87 states/eV/f.u. The formation enthalpy at 0 K is -435 meV/atom.

It has space group P4/mmm (No. 123), with a = 5.0284 Å, b = 5.0284 Å, c = 4.1647 Å, α = 90.00°, β = 90.00° and γ = 90.00°. The distinct sites, in fractional coordinates, are Li at (0.0000, 0.0000, 0.0000), Lu at (0.5000, 0.5000, 0.0000) and Bi at (0.0000, 0.5000, 0.5000).

Entry 7:
VASP calculation (PBE) on crystalline LiLuBi2 at its relaxed geometry.

The energy relative to the lowest polymorph listed for this composition comes out at 53 meV per atom. As for the density of states at the Fermi level: 3.12 states/eV/f.u. The formation enthalpy at 0 K is -382 meV/atom.

It has space group Fm-3m (No. 225), with a = 7.5552 Å, b = 7.5552 Å, c = 7.5552 Å, α = 90.00°, β = 90.00° and γ = 90.00°. The distinct sites, in fractional coordinates, are Li at (0.0000, 0.0000, 0.0000), Lu at (0.0000, 0.0000, 0.5000) and Bi at (0.2500, 0.2500, 0.2500).

Entry 8:
VASP calculation (PBE) on crystalline LiLuBiPd at its relaxed geometry.

As for the density of states at the Fermi level: 1.75 states/eV/f.u. The formation enthalpy at 0 K is -579 meV/atom.

It has space group F-43m (No. 216), with a = 6.9885 Å, b = 6.9885 Å, c = 6.9885 Å, α = 90.00°, β = 90.00° and γ = 90.00°. The distinct sites, in fractional coordinates, are Li at (0.0000, 0.0000, 0.0000), Lu at (0.0000, 0.0000, 0.5000), Bi at (0.2500, 0.2500, 0.7500) and Pd at (0.2500, 0.2500, 0.2500).

Repeat the first record exactly.
VASP calculation (PBE) on crystalline Li3Bi2 at its relaxed geometry.

The energy relative to the lowest polymorph listed for this composition comes out at 0 meV per atom. As for the density of states at the Fermi level: 1.08 states/eV/f.u. The formation enthalpy at 0 K is -350 meV/atom.

It has space group C2/m (No. 12), with a = 17.9545 Å, b = 4.8834 Å, c = 8.7180 Å, α = 90.00°, β = 104.88° and γ = 90.00°. The distinct sites, in fractional coordinates, are Li at (0.0000, 0.0000, 0.0000), Li at (0.0271, 0.0000, 0.6808), Li at (0.1162, 0.5000, 0.6588), Li at (0.1347, 0.5000, 0.9991), Li at (0.1991, 0.5000, 0.3623), Bi at (0.0291, 0.5000, 0.1974), Bi at (0.1379, 0.0000, 0.4886) and Bi at (0.1951, 0.0000, 0.8646).

Question: Which of these has the lowest formation enthalpy at 0 K?
Answer: LiLuBiPd